# 1
Density functional theory data (PBE-GGA) for a relaxed KMn2Fe crystal.

Values from the calculation:
Space group: Pmmm
Energy of formation from the pure elements in eV per atom: 1.291
VASP energy in eV per atom: -5.684
Calculated volume in Å³/f.u.: 76

Structure (extended XYZ):
```
4
Lattice="2.863 0.000 0.000 0.000 5.102 0.000 0.000 0.000 5.171" Properties=species:S:1:pos:R:3 pbc="T T T"
K 0.000 0.000 0.000
Mn 0.000 2.551 2.586
Mn 1.431 2.551 0.000
Fe 1.431 0.000 2.586
```



# 2
Density functional theory data (PBE-GGA) for a relaxed Pm6Sm3HoEr2 crystal.

Values from the calculation:
Space group: C2/m
Energy of formation from the pure elements in eV per atom: 0.015
VASP energy in eV per atom: -4.682
Calculated volume in Å³/f.u.: 399

Structure (extended XYZ):
```
12
Lattice="3.132 -5.423 0.000 3.132 5.423 0.000 -2.084 0.000 11.732" Properties=species:S:1:pos:R:3 pbc="T T T"
Pm -0.001 1.808 8.838
Pm 1.048 0.000 2.895
Pm -0.001 -1.808 8.838
Pm 4.180 1.808 2.894
Pm 3.132 0.000 8.838
Pm 4.180 -1.808 2.894
Sm -1.042 0.000 5.866
Sm 2.090 1.809 5.866
Sm 2.090 -1.809 5.866
Ho 3.132 0.000 0.000
Er 3.132 3.616 0.000
Er 3.132 -3.616 0.000
```



# 3
Density functional theory data (PBE-GGA) for a relaxed CsHg2IO2 crystal.

Values from the calculation:
Space group: P2_1/m
Energy relative to the elements, uncorrected in eV/atom: -0.59
VASP energy in eV per atom: -2.740
Calculated volume in Å³/f.u.: 217

Structure (extended XYZ):
```
12
Lattice="7.849 0.000 0.000 0.000 6.981 0.000 -1.827 0.000 7.932" Properties=species:S:1:pos:R:3 pbc="T T T"
Cs 1.014 1.745 1.525
Cs 5.008 5.236 6.407
Hg -0.270 1.745 5.700
Hg 0.714 5.236 4.764
Hg 5.308 1.745 3.168
Hg 6.292 5.236 2.232
I 2.559 5.236 2.779
I 3.462 1.745 5.153
O -0.426 3.735 5.894
O -0.426 6.736 5.894
O 6.447 0.245 2.038
O 6.447 3.246 2.038
```



# 4
Density functional theory data (PBE-GGA) for a relaxed LiHfNb2 crystal.

Values from the calculation:
Space group: I-42d
Energy of formation from the pure elements in eV per atom: 0.621
VASP energy in eV per atom: -7.381
Calculated volume in Å³/f.u.: 74

Structure (extended XYZ):
```
16
Lattice="7.403 0.000 0.000 0.000 7.403 0.000 0.000 0.000 5.412" Properties=species:S:1:pos:R:3 pbc="T T T"
Li 0.000 0.000 0.000
Li 0.000 3.702 1.353
Li 3.702 0.000 4.059
Li 3.702 3.702 2.706
Hf 0.000 0.000 2.706
Hf 0.000 3.702 4.059
Hf 3.702 0.000 1.353
Hf 3.702 3.702 0.000
Nb 1.654 1.851 0.677
Nb 1.851 5.356 2.030
Nb 1.851 5.749 4.736
Nb 2.048 1.851 3.383
Nb 5.356 5.553 3.383
Nb 5.553 1.654 4.736
Nb 5.553 2.048 2.030
Nb 5.749 5.553 0.677
```



# 5
Density functional theory data (PBE-GGA) for a relaxed Cd2Ag8Pd crystal.

Values from the calculation:
Space group: C2/m
Energy of formation from the pure elements in eV per atom: -0.061
VASP energy in eV per atom: -2.773
Calculated volume in Å³/f.u.: 199

Structure (extended XYZ):
```
11
Lattice="7.498 -2.065 0.000 7.498 2.065 0.000 -1.823 0.000 6.410" Properties=species:S:1:pos:R:3 pbc="T T T"
Cd 1.661 0.000 1.127
Cd 11.511 0.000 5.283
Ag -0.636 0.000 4.654
Ag 2.258 0.000 4.085
Ag 4.615 0.000 0.613
Ag 5.158 0.000 3.503
Ag 8.015 0.000 2.907
Ag 8.557 0.000 5.797
Ag 10.914 0.000 2.325
Ag 13.809 0.000 1.756
Pd 7.498 0.000 0.000
```



# 6
Density functional theory data (PBE-GGA) for a relaxed K2CaBe crystal.

Values from the calculation:
Space group: Imm2
Energy of formation from the pure elements in eV per atom: 0.580
VASP energy in eV per atom: -1.400
Calculated volume in Å³/f.u.: 178

Structure (extended XYZ):
```
8
Lattice="4.016 0.000 0.000 0.000 6.478 0.000 0.000 0.000 13.649" Properties=species:S:1:pos:R:3 pbc="T T T"
K 0.000 0.000 0.000
K 0.000 3.239 2.474
K 2.008 0.000 9.299
K 2.008 3.239 6.825
Ca 0.000 0.000 4.919
Ca 2.008 3.239 11.743
Be 0.000 3.239 9.625
Be 2.008 0.000 2.800
```



# 7
Density functional theory data (PBE-GGA) for a relaxed ScCoRh2N crystal.

Values from the calculation:
Space group: P4/mmm
Energy relative to the elements, uncorrected in eV/atom: 2.18
VASP energy in eV per atom: -5.116
Calculated volume in Å³/f.u.: 98

Structure (extended XYZ):
```
5
Lattice="4.661 0.000 0.000 0.000 4.661 0.000 0.000 0.000 4.518" Properties=species:S:1:pos:R:3 pbc="T T T"
Sc 0.000 0.000 0.000
Co 0.000 0.000 2.259
Rh 0.000 2.330 0.000
Rh 2.330 0.000 0.000
N 2.330 2.330 2.259
```



# 8
Density functional theory data (PBE-GGA) for a relaxed Zn5Os crystal.

Values from the calculation:
Space group: Amm2
Energy of formation from the pure elements in eV per atom: 0.088
VASP energy in eV per atom: -2.845
Calculated volume in Å³/f.u.: 87

Structure (extended XYZ):
```
12
Lattice="4.546 0.000 0.000 0.000 2.677 0.000 0.000 0.000 14.274" Properties=species:S:1:pos:R:3 pbc="T T T"
Zn 0.000 0.000 0.000
Zn 0.000 0.000 4.694
Zn 0.000 1.338 7.137
Zn 0.000 1.338 11.831
Zn 2.273 0.000 1.557
Zn 2.273 0.000 6.273
Zn 2.273 0.000 11.035
Zn 2.273 1.338 3.898
Zn 2.273 1.338 8.694
Zn 2.273 1.338 13.410
Os 0.000 0.000 9.512
Os 0.000 1.338 2.375
```



# 9
Density functional theory data (PBE-GGA) for a relaxed CePmPtAu crystal.

Values from the calculation:
Space group: F-43m
Energy of formation from the pure elements in eV per atom: -0.840
VASP energy in eV per atom: -5.841
Calculated volume in Å³/f.u.: 96

Structure (extended XYZ):
```
16
Lattice="7.273 0.000 0.000 0.000 7.273 0.000 0.000 0.000 7.273" Properties=species:S:1:pos:R:3 pbc="T T T"
Ce 0.000 0.000 0.000
Ce 0.000 3.637 3.637
Ce 3.637 0.000 3.637
Ce 3.637 3.637 0.000
Pm 0.000 0.000 3.637
Pm 0.000 3.637 0.000
Pm 3.637 0.000 0.000
Pm 3.637 3.637 3.637
Pt 1.818 1.818 5.455
Pt 1.818 5.455 1.818
Pt 5.455 1.818 1.818
Pt 5.455 5.455 5.455
Au 1.818 1.818 1.818
Au 1.818 5.455 5.455
Au 5.455 1.818 5.455
Au 5.455 5.455 1.818
```



# 10
Density functional theory data (PBE-GGA) for a relaxed TbTmH2 crystal.

Values from the calculation:
Space group: R-3m
VASP energy in eV per atom: -4.464
Calculated volume in Å³/f.u.: 67

Structure (extended XYZ):
```
12
Lattice="3.644 0.000 0.000 -1.822 3.156 0.000 0.000 0.000 17.429" Properties=species:S:1:pos:R:3 pbc="T T T"
Tb 0.000 0.000 0.000
Tb 0.000 2.104 11.620
Tb 1.822 1.052 5.810
Tm 0.000 0.000 8.715
Tm 0.000 2.104 2.905
Tm 1.822 1.052 14.524
H 0.000 0.000 6.540
H 0.000 0.000 10.890
H 0.000 2.104 0.730
H 0.000 2.104 5.080
H 1.822 1.052 12.350
H 1.822 1.052 16.699
```



# 11
Density functional theory data (PBE-GGA) for a relaxed ZrScPb2Cl crystal.

Values from the calculation:
Space group: P4/mmm
Energy relative to the elements, uncorrected in eV/atom: 0.20
VASP energy in eV per atom: -4.625
Calculated volume in Å³/f.u.: 139

Structure (extended XYZ):
```
5
Lattice="5.496 0.000 0.000 0.000 5.496 0.000 0.000 0.000 4.609" Properties=species:S:1:pos:R:3 pbc="T T T"
Zr 0.000 0.000 0.000
Sc 2.748 2.748 0.000
Pb 0.000 2.748 2.305
Pb 2.748 0.000 2.305
Cl 2.748 2.748 2.305
```



# 12
Density functional theory data (PBE-GGA) for a relaxed Ni2AsW crystal.

Values from the calculation:
Space group: Imm2
Energy of formation from the pure elements in eV per atom: 0.133
VASP energy in eV per atom: -7.159
Calculated volume in Å³/f.u.: 53

Structure (extended XYZ):
```
8
Lattice="3.518 0.000 0.000 0.000 4.051 0.000 0.000 0.000 7.454" Properties=species:S:1:pos:R:3 pbc="T T T"
Ni 0.000 0.000 0.000
Ni 0.000 2.025 1.777
Ni 1.759 0.000 5.504
Ni 1.759 2.025 3.727
As 0.000 0.000 3.948
As 1.759 2.025 0.221
W 0.000 2.025 5.810
W 1.759 0.000 2.083
```



# 13
Density functional theory data (PBE-GGA) for a relaxed Tl5Hg4Sb crystal.

Values from the calculation:
Space group: C2/m
Energy relative to the elements, uncorrected in eV/atom: 0.03
VASP energy in eV per atom: -1.681
Calculated volume in Å³/f.u.: 311

Structure (extended XYZ):
```
10
Lattice="9.419 -1.756 0.000 9.419 1.756 0.000 -1.001 0.000 9.400" Properties=species:S:1:pos:R:3 pbc="T T T"
Tl 0.000 0.000 0.000
Tl 5.177 0.000 9.058
Tl 6.267 0.000 5.723
Tl 11.571 0.000 3.677
Tl 12.661 0.000 0.341
Hg 3.083 0.000 6.492
Hg 7.955 0.000 2.291
Hg 9.883 0.000 7.109
Hg 14.755 0.000 2.908
Sb -0.500 0.000 4.700
```



# 14
Density functional theory data (PBE-GGA) for a relaxed Pd crystal.

Values from the calculation:
Space group: Amm2
Energy of formation from the pure elements in eV per atom: 0.271
VASP energy in eV per atom: -4.922
Calculated volume in Å³/f.u.: 17

Structure (extended XYZ):
```
12
Lattice="2.755 0.000 0.000 0.000 11.449 0.000 0.000 0.000 6.508" Properties=species:S:1:pos:R:3 pbc="T T T"
Pd 0.000 0.000 0.000
Pd 0.000 1.365 4.192
Pd 0.000 4.360 0.938
Pd 0.000 5.725 3.254
Pd 0.000 7.089 0.938
Pd 0.000 10.085 4.192
Pd 1.378 0.000 2.257
Pd 1.378 2.367 6.362
Pd 1.378 3.358 3.108
Pd 1.378 5.725 5.511
Pd 1.378 8.091 3.108
Pd 1.378 9.083 6.362
```



# 15
Density functional theory data (PBE-GGA) for a relaxed NaGe crystal.

Values from the calculation:
Space group: Fm-3m
Energy of formation from the pure elements in eV per atom: 0.531
VASP energy in eV per atom: -2.438
Calculated volume in Å³/f.u.: 52

Structure (extended XYZ):
```
8
Lattice="5.929 0.000 0.000 0.000 5.929 0.000 0.000 0.000 5.929" Properties=species:S:1:pos:R:3 pbc="T T T"
Na 0.000 0.000 0.000
Na 0.000 2.964 2.964
Na 2.964 0.000 2.964
Na 2.964 2.964 0.000
Ge 0.000 0.000 2.964
Ge 0.000 2.964 0.000
Ge 2.964 0.000 0.000
Ge 2.964 2.964 2.964
```



# 16
Density functional theory data (PBE-GGA) for a relaxed SbRhS2I crystal.

Values from the calculation:
Space group: P4/mmm
Energy relative to the elements, uncorrected in eV/atom: 0.34
VASP energy in eV per atom: -3.917
Calculated volume in Å³/f.u.: 117

Structure (extended XYZ):
```
5
Lattice="4.684 0.000 0.000 0.000 4.684 0.000 0.000 0.000 5.340" Properties=species:S:1:pos:R:3 pbc="T T T"
Sb 0.000 0.000 0.000
Rh 2.342 2.342 2.670
S 0.000 2.342 2.670
S 2.342 0.000 2.670
I 2.342 2.342 0.000
```



# 17
Density functional theory data (PBE-GGA) for a relaxed Dy5Y2Tm crystal.

Values from the calculation:
Space group: Pbam
Energy of formation from the pure elements in eV per atom: 0.019
VASP energy in eV per atom: -5.032
Calculated volume in Å³/f.u.: 251

Structure (extended XYZ):
```
16
Lattice="7.088 0.000 0.000 0.000 14.178 0.000 0.000 0.000 5.003" Properties=species:S:1:pos:R:3 pbc="T T T"
Dy 0.000 0.000 0.000
Dy 7.086 3.548 0.000
Dy 0.001 10.629 0.000
Dy 1.771 1.768 2.502
Dy 1.773 8.857 2.502
Dy 3.542 3.541 0.000
Dy 3.544 7.089 0.000
Dy 3.545 10.637 0.000
Dy 5.315 5.321 2.502
Dy 5.317 12.410 2.502
Y 1.770 5.319 2.502
Y 1.774 12.408 2.502
Y 5.314 1.769 2.502
Y 5.318 8.858 2.502
Tm 0.000 7.089 0.000
Tm 3.544 0.000 0.000
```



# 18
Density functional theory data (PBE-GGA) for a relaxed Ba2PuInS5 crystal.

Values from the calculation:
Space group: Cmc2_1
Energy relative to the elements, uncorrected in eV/atom: -1.57
VASP energy in eV per atom: -6.187
Calculated volume in Å³/f.u.: 250

Structure (extended XYZ):
```
18
Lattice="2.096 -9.190 0.000 2.096 9.190 0.000 0.000 0.000 12.985" Properties=species:S:1:pos:R:3 pbc="T T T"
Ba 2.096 7.068 6.493
Ba 2.096 6.769 1.737
Ba 2.096 -6.769 8.230
Ba 2.096 -7.068 0.000
Pu 2.096 5.344 10.873
Pu 2.096 -5.344 4.380
In 2.096 0.956 3.390
In 2.096 -0.956 9.883
S 2.096 8.263 11.293
S 2.096 3.865 6.167
S 2.096 3.406 2.507
S 2.096 2.647 10.655
S 2.096 0.073 7.688
S 2.096 -0.073 1.195
S 2.096 -2.647 4.162
S 2.096 -3.406 9.000
S 2.096 -3.865 12.660
S 2.096 -8.263 4.801
```



# 19
Density functional theory data (PBE-GGA) for a relaxed CePm2Pt crystal.

Values from the calculation:
Space group: R3m
Energy of formation from the pure elements in eV per atom: -0.373
VASP energy in eV per atom: -5.742
Calculated volume in Å³/f.u.: 128

Structure (extended XYZ):
```
12
Lattice="3.946 0.000 0.000 -1.973 3.417 0.000 0.000 0.000 28.438" Properties=species:S:1:pos:R:3 pbc="T T T"
Ce 0.000 0.000 0.000
Ce 0.000 2.278 18.958
Ce 1.973 1.139 9.479
Pm 0.000 0.000 6.526
Pm 0.000 0.000 12.509
Pm 0.000 2.278 3.030
Pm 0.000 2.278 25.485
Pm 1.973 1.139 16.005
Pm 1.973 1.139 21.988
Pt 0.000 0.000 23.746
Pt 0.000 2.278 14.267
Pt 1.973 1.139 4.788
```



# 20
Density functional theory data (PBE-GGA) for a relaxed Pa3Ge5Se12 crystal.

Values from the calculation:
Space group: Ia-3d
Energy relative to the elements, uncorrected in eV/atom: -0.65
VASP energy in eV per atom: -5.322
Calculated volume in Å³/f.u.: 538

Structure (extended XYZ):
```
80
Lattice="-8.132 8.132 8.132 8.132 -8.132 8.132 8.132 8.132 -8.132" Properties=species:S:1:pos:R:3 pbc="T T T"
Pa 4.066 2.033 0.000
Pa 8.132 4.066 -2.033
Pa 2.033 0.000 4.066
Pa 10.165 0.000 4.066
Pa 0.000 4.066 2.033
Pa 4.066 -2.033 8.132
Pa 4.066 10.165 0.000
Pa 8.132 4.066 6.099
Pa -2.033 8.132 4.066
Pa 6.099 8.132 4.066
Pa 0.000 4.066 10.165
Pa 4.066 6.099 8.132
Ge 0.000 0.000 0.000
Ge 4.066 4.066 -4.066
Ge 4.066 -4.066 4.066
Ge 8.132 0.000 0.000
Ge 12.198 2.033 0.000
Ge 8.132 -4.066 6.099
Ge 6.099 8.132 -4.066
Ge 6.099 0.000 4.066
Ge 4.066 6.099 0.000
Ge 8.132 4.066 2.033
Ge -4.066 4.066 4.066
Ge 0.000 8.132 0.000
Ge 0.000 0.000 8.132
Ge 4.066 4.066 4.066
Ge 0.000 4.066 6.099
Ge 4.066 2.033 8.132
Ge 2.033 8.132 4.066
Ge 2.033 0.000 12.198
Ge 0.000 12.198 2.033
Ge -4.066 6.099 8.132
Se 2.510 -0.288 1.075
Se 9.688 5.141 -4.354
Se 10.642 0.288 1.075
Se 9.688 -2.991 4.354
Se 7.844 -1.075 2.510
Se 12.486 -1.556 2.991
Se 1.075 2.510 -0.288
Se 11.123 3.778 -1.556
Se 5.141 4.354 -1.556
Se 7.057 2.510 0.288
Se -0.288 1.075 2.510
Se 4.354 -1.556 5.141
Se 7.844 7.057 -2.510
Se 4.354 1.556 2.991
Se 5.141 -4.354 9.688
Se 7.057 -2.510 7.844
Se 2.991 4.354 1.556
Se 9.207 5.622 0.288
Se 4.354 9.688 -2.991
Se 7.844 1.075 5.622
Se 2.510 7.844 -1.075
Se 9.688 2.991 3.778
Se 1.556 2.991 4.354
Se 2.510 0.288 7.057
Se 5.622 7.844 1.075
Se 6.576 5.141 3.778
Se -1.556 5.141 4.354
Se 5.622 0.288 9.207
Se 0.288 7.057 2.510
Se 3.778 -1.556 11.123
Se -1.075 2.510 7.844
Se 5.141 3.778 6.576
Se 1.075 10.642 0.288
Se 2.991 12.486 -1.556
Se 3.778 6.576 5.141
Se 0.288 1.075 10.642
Se 3.778 9.688 2.991
Se 8.420 7.057 5.622
Se 1.075 5.622 7.844
Se 2.991 3.778 9.688
Se -2.991 4.354 9.688
Se 7.057 5.622 8.420
Se -4.354 9.688 5.141
Se 0.288 9.207 5.622
Se -1.556 11.123 3.778
Se -2.510 7.844 7.057
Se -1.556 2.991 12.486
Se 5.622 8.420 7.057
```



# 21
Density functional theory data (PBE-GGA) for a relaxed TlCd2Pt crystal.

Values from the calculation:
Space group: C2/m
Energy of formation from the pure elements in eV per atom: -0.056
VASP energy in eV per atom: -2.616
Calculated volume in Å³/f.u.: 89

Structure (extended XYZ):
```
8
Lattice="12.972 0.000 0.000 0.000 3.102 0.000 -1.736 0.000 4.428" Properties=species:S:1:pos:R:3 pbc="T T T"
Tl 0.000 0.000 0.000
Tl 6.486 1.551 0.000
Cd 1.413 0.000 3.115
Cd 3.337 1.551 1.314
Cd 7.899 1.551 3.115
Cd 9.822 0.000 1.314
Pt -0.868 1.551 2.214
Pt 5.618 0.000 2.214
```